CeSm2Ho3S6: optimized geometry, PBE.

a b c (Å): 3.924 7.959 8.851
angles (deg): 103.61 102.81 90.00
Positions (direct):
S: 0.665 0.590 0.329
S: 0.997 0.258 0.994
S: 0.003 0.742 0.006
S: 0.670 0.077 0.340
S: 0.335 0.410 0.671
S: 0.330 0.923 0.660
Sm: 0.166 0.331 0.331
Sm: 0.834 0.669 0.669
Ho: 0.166 0.835 0.333
Ho: 0.500 0.500 0.000
Ho: 0.834 0.165 0.667
Ce: 0.500 0.000 0.000

Summary:
* spin magnetization: 0.954 μB/f.u.
* raw formation energy: -2009.1 meV per atom
* space-group type: No. 12
* energy: -77.98 eV/cell

=====

CuGe2S4: optimized geometry, PBE.

a b c (Å): 5.959 5.959 5.959
angles (deg): 105.33 105.33 118.12
Positions (direct):
Ge: 0.750 0.250 0.500
Ge: 0.250 0.750 0.500
Cu: 0.500 0.500 0.000
S: 0.646 0.801 0.447
S: 0.801 0.354 0.155
S: 0.199 0.646 0.845
S: 0.354 0.199 0.553

Summary:
* spin magnetization: 0.000 μB/f.u.
* raw formation energy: -103.1 meV per atom
* space-group type: No. 87
* energy relative to the lowest polymorph listed for this composition: 113.1 meV/atom
* energy: -30.56 eV/cell

=====

BaTaGaIr2: optimized geometry, PBE.

a b c (Å): 4.672 4.672 5.335
angles (deg): 90.00 90.00 90.00
Positions (direct):
Ga: 0.000 0.000 0.000
Ir: 0.000 0.500 0.000
Ir: 0.500 0.000 0.000
Ta: 0.500 0.500 0.500
Ba: 0.000 0.000 0.500

Summary:
* spin magnetization: 2.205 μB/f.u.
* space-group type: No. 123
* calculated formation energy: 1340 meV per atom
* energy: -27.82 eV/cell

=====

CeAsRu: optimized geometry, PBE.

a b c (Å): 4.684 4.684 5.842
angles (deg): 90.00 90.00 76.05
Positions (direct):
Ce: 0.325 0.825 0.750
Ce: 0.675 0.175 0.250
As: 0.728 0.228 0.750
As: 0.272 0.772 0.250
Ru: 0.000 0.500 0.000
Ru: 0.000 0.500 0.500

Summary:
* spin magnetization: 0.138 μB/f.u.
* space-group type: No. 63
* calculated formation energy: -650 meV per atom
* energy: -43.62 eV/cell

=====

Cs14Ac2O9: optimized geometry, PBE.

a b c (Å): 8.978 8.978 11.962
angles (deg): 90.00 90.00 120.00
Positions (direct):
Cs: 0.683 0.625 0.092
Cs: 0.096 0.384 0.589
Cs: 0.904 0.616 0.411
Cs: 0.000 0.000 0.245
Cs: 0.712 0.096 0.411
Cs: 0.058 0.683 0.908
Cs: 0.616 0.712 0.589
Cs: 0.375 0.058 0.092
Cs: 0.288 0.904 0.589
Cs: 0.625 0.942 0.908
Cs: 0.942 0.317 0.092
Cs: 0.000 0.000 0.755
Cs: 0.384 0.288 0.411
Cs: 0.317 0.375 0.908
Ac: 0.667 0.333 0.732
Ac: 0.333 0.667 0.268
O: 0.333 0.667 0.068
O: 0.745 0.129 0.663
O: 0.617 0.745 0.337
O: 0.129 0.383 0.337
O: 0.871 0.617 0.663
O: 0.255 0.871 0.337
O: 0.667 0.333 0.932
O: 0.000 0.000 0.000
O: 0.383 0.255 0.663

Summary:
* spin magnetization: 1.496 μB/f.u.
* raw formation energy: -1269.9 meV per atom
* space-group type: No. 147
* energy: -96.54 eV/cell

=====

Er3Bi2Se2: optimized geometry, PBE.

a b c (Å): 4.055 7.774 8.181
angles (deg): 113.90 104.35 90.00
Positions (direct):
Se: 0.865 0.654 0.729
Se: 0.135 0.346 0.271
Er: 0.733 0.264 0.466
Er: 0.000 0.500 0.000
Er: 0.267 0.736 0.534
Bi: 0.374 0.181 0.747
Bi: 0.626 0.819 0.253

Summary:
* spin magnetization: 0.000 μB/f.u.
* raw formation energy: -1144.6 meV per atom
* space-group type: No. 12
* energy: -36.43 eV/cell

=====

CaTmRu: optimized geometry, PBE.

a b c (Å): 4.718 4.726 8.550
angles (deg): 74.01 90.00 119.94
Positions (direct):
Ca: 0.376 0.752 0.372
Ca: 0.624 0.248 0.628
Tm: 0.128 0.255 0.117
Tm: 0.872 0.745 0.883
Ru: 0.759 0.518 0.224
Ru: 0.241 0.482 0.776

Summary:
* spin magnetization: 0.000 μB/f.u.
* space-group type: No. 12
* calculated formation energy: -15 meV per atom
* energy relative to the lowest polymorph listed for this composition: 140.5 meV/atom
* energy: -31.59 eV/cell

=====

LaGaCu2Ir: optimized geometry, PBE.

a b c (Å): 3.976 4.156 6.279
angles (deg): 109.33 108.46 90.00
Positions (direct):
Cu: 0.693 0.193 0.386
Cu: 0.060 0.060 0.120
La: 0.435 0.435 0.869
Ir: 0.834 0.834 0.668
Ga: 0.190 0.690 0.381

Summary:
* spin magnetization: 0.000 μB/f.u.
* space-group type: No. 44
* calculated formation energy: -377 meV per atom
* energy: -26.89 eV/cell

=====

Cs13S2: optimized geometry, PBE.

a b c (Å): 9.588 12.074 13.881
angles (deg): 115.86 94.28 95.75
Positions (direct):
S: 0.188 0.148 0.264
S: 0.812 0.852 0.736
Cs: 0.000 0.000 0.000
Cs: 0.106 0.908 0.635
Cs: 0.090 0.422 0.297
Cs: 0.291 0.875 0.231
Cs: 0.761 0.598 0.092
Cs: 0.239 0.402 0.908
Cs: 0.894 0.092 0.365
Cs: 0.372 0.284 0.513
Cs: 0.910 0.578 0.703
Cs: 0.709 0.125 0.769
Cs: 0.628 0.716 0.487
Cs: 0.524 0.782 0.836
Cs: 0.476 0.218 0.164

Summary:
* spin magnetization: 0.001 μB/f.u.
* raw formation energy: -389.3 meV per atom
* space-group type: No. 2
* energy: -25.19 eV/cell

=====

Pm2GdBi: optimized geometry, PBE.

a b c (Å): 4.916 4.971 4.971
angles (deg): 90.00 90.00 90.00
Positions (direct):
Pm: 0.000 0.000 0.500
Pm: 0.000 0.500 0.000
Bi: 0.500 0.500 0.500
Gd: 0.500 0.000 0.000

Summary:
* spin magnetization: 7.502 μB/f.u.
* space-group type: No. 123
* calculated formation energy: -412 meV per atom
* energy relative to the lowest polymorph listed for this composition: 0.0 meV/atom
* energy: -29.11 eV/cell

=====

ScRh: optimized geometry, PBE.

a b c (Å): 3.284 3.284 3.859
angles (deg): 90.00 90.00 120.00
Positions (direct):
Sc: 0.333 0.667 0.500
Rh: 0.000 0.000 0.000

Summary:
* spin magnetization: 0.000 μB/f.u.
* space-group type: No. 187
* calculated formation energy: -618 meV per atom
* energy: -14.92 eV/cell

=====

Li6LaHg2: optimized geometry, PBE.

a b c (Å): 4.224 4.224 11.123
angles (deg): 90.00 90.00 90.00
Positions (direct):
Li: 0.500 0.000 0.699
Li: 0.500 0.000 0.301
Li: 0.000 0.000 0.500
Li: 0.000 0.500 0.699
Li: 0.000 0.500 0.301
Li: 0.500 0.500 0.500
La: 0.000 0.000 0.000
Hg: 0.500 0.500 0.856
Hg: 0.500 0.500 0.144

Summary:
* spin magnetization: 0.100 μB/f.u.
* space-group type: No. 123
* calculated formation energy: -206 meV per atom
* energy: -18.86 eV/cell

=====

La5PrHo2: optimized geometry, PBE.

a b c (Å): 3.645 11.427 9.066
angles (deg): 129.07 101.60 90.00
Positions (direct):
La: 0.369 0.600 0.739
La: 0.631 0.861 0.261
La: 0.369 0.139 0.739
La: 0.000 0.500 0.000
La: 0.631 0.400 0.261
Ho: 0.742 0.242 0.485
Ho: 0.258 0.758 0.515
Pr: 0.000 0.000 0.000

Summary:
* spin magnetization: 0.000 μB/f.u.
* space-group type: No. 71
* calculated formation energy: 31 meV per atom
* energy relative to the lowest polymorph listed for this composition: 0.0 meV/atom
* energy: -38.33 eV/cell

=====

Ca2AcCd: optimized geometry, PBE.

a b c (Å): 3.825 3.825 9.921
angles (deg): 90.00 90.00 90.00
Positions (direct):
Ac: 0.500 0.500 0.500
Ca: 0.000 0.000 0.197
Ca: 0.000 0.000 0.803
Cd: 0.500 0.500 0.000

Summary:
* spin magnetization: 0.000 μB/f.u.
* space-group type: No. 123
* calculated formation energy: -131 meV per atom
* energy relative to the lowest polymorph listed for this composition: 25.5 meV/atom
* energy: -9.55 eV/cell

=====

Ca2Mg12Tl7: optimized geometry, PBE.

a b c (Å): 3.726 12.721 12.721
angles (deg): 120.00 90.00 90.00
Positions (direct):
Tl: 0.756 0.138 0.711
Tl: 0.244 0.711 0.573
Tl: 0.756 0.573 0.862
Tl: 0.500 0.000 0.000
Tl: 0.756 0.289 0.427
Tl: 0.244 0.862 0.289
Tl: 0.244 0.427 0.138
Mg: 0.753 0.915 0.751
Mg: 0.753 0.249 0.165
Mg: 0.250 0.448 0.381
Mg: 0.250 0.933 0.552
Mg: 0.750 0.067 0.448
Mg: 0.750 0.552 0.619
Mg: 0.247 0.085 0.249
Mg: 0.247 0.165 0.915
Mg: 0.750 0.381 0.933
Mg: 0.250 0.619 0.067
Mg: 0.247 0.751 0.835
Mg: 0.753 0.835 0.085
Ca: 0.743 0.667 0.333
Ca: 0.257 0.333 0.667

Summary:
* spin magnetization: 0.000 μB/f.u.
* space-group type: No. 147
* calculated formation energy: -119 meV per atom
* energy: -42.20 eV/cell

=====

LaSbPb2: optimized geometry, PBE.

a b c (Å): 3.647 3.647 9.378
angles (deg): 90.00 90.00 90.00
Positions (direct):
Sb: 0.000 0.000 0.506
Pb: 0.500 0.500 0.252
Pb: 0.000 0.000 0.002
La: 0.500 0.500 0.740

Summary:
* spin magnetization: 0.000 μB/f.u.
* raw formation energy: -274.1 meV per atom
* space-group type: No. 99
* energy: -17.56 eV/cell

=====

CeDy2Hg3: optimized geometry, PBE.

a b c (Å): 3.718 3.718 11.512
angles (deg): 90.00 90.00 90.00
Positions (direct):
Hg: 0.000 0.000 0.319
Hg: 0.000 0.000 0.681
Hg: 0.000 0.000 0.000
Ce: 0.500 0.500 0.500
Dy: 0.500 0.500 0.162
Dy: 0.500 0.500 0.838

Summary:
* spin magnetization: 1.733 μB/f.u.
* space-group type: No. 123
* calculated formation energy: -418 meV per atom
* energy: -18.55 eV/cell

=====

Tb5Y5Tl: optimized geometry, PBE.

a b c (Å): 6.122 6.122 11.192
angles (deg): 90.00 90.00 120.00
Positions (direct):
Tb: 0.000 0.000 0.268
Tb: 0.830 0.170 0.500
Tb: 0.830 0.660 0.500
Tb: 0.340 0.170 0.500
Tb: 0.000 0.000 0.732
Y: 0.333 0.667 0.703
Y: 0.000 0.000 0.000
Y: 0.667 0.333 0.183
Y: 0.333 0.667 0.297
Y: 0.667 0.333 0.817
Tl: 0.333 0.667 0.000

Summary:
* spin magnetization: 0.000 μB/f.u.
* space-group type: No. 187
* calculated formation energy: 300 meV per atom
* energy: -54.54 eV/cell

=====

In2OsPb: optimized geometry, PBE.

a b c (Å): 4.593 4.344 4.344
angles (deg): 90.00 90.00 90.00
Positions (direct):
In: 0.000 0.500 0.500
In: 0.000 0.000 0.000
Pb: 0.500 0.000 0.500
Os: 0.500 0.500 0.000

Summary:
* spin magnetization: 0.000 μB/f.u.
* space-group type: No. 123
* calculated formation energy: 771 meV per atom
* energy: -17.33 eV/cell

=====

Pm3NiSn4: optimized geometry, PBE.

a b c (Å): 4.726 4.096 12.728
angles (deg): 118.85 100.70 90.00
Positions (direct):
Ni: 0.500 0.000 0.000
Sn: 0.593 0.779 0.186
Sn: 0.257 0.272 0.515
Sn: 0.743 0.728 0.485
Sn: 0.407 0.221 0.814
Pm: 0.864 0.592 0.728
Pm: 0.136 0.408 0.272
Pm: 0.000 0.500 0.000

Summary:
* spin magnetization: 0.000 μB/f.u.
* space-group type: No. 71
* calculated formation energy: -493 meV per atom
* energy: -39.99 eV/cell

=====

Ba2GaSn3Pd4: optimized geometry, PBE.

a b c (Å): 4.792 4.792 10.607
angles (deg): 90.00 90.00 90.00
Positions (direct):
Pd: 0.500 0.000 0.621
Pd: 0.000 0.500 0.379
Pd: 0.500 0.500 0.000
Pd: 0.000 0.000 0.000
Sn: 0.500 0.000 0.880
Sn: 0.000 0.000 0.500
Sn: 0.000 0.500 0.120
Ba: 0.500 0.000 0.250
Ba: 0.000 0.500 0.750
Ga: 0.500 0.500 0.500

Summary:
* spin magnetization: 0.000 μB/f.u.
* space-group type: No. 115
* calculated formation energy: -690 meV per atom
* energy: -46.55 eV/cell

=====

Pt3RhPb: optimized geometry, PBE.

a b c (Å): 4.882 4.882 4.882
angles (deg): 90.00 90.00 90.00
Positions (direct):
Pt: 0.000 0.500 0.000
Pt: 0.000 0.000 0.500
Pt: 0.500 0.000 0.000
Pb: 0.500 0.500 0.500
Rh: 0.000 0.000 0.000

Summary:
* spin magnetization: 2.407 μB/f.u.
* space-group type: No. 221
* calculated formation energy: 904 meV per atom
* energy relative to the lowest polymorph listed for this composition: 0.0 meV/atom
* energy: -24.66 eV/cell

=====

LiTlRu2: optimized geometry, PBE.

a b c (Å): 5.134 5.134 5.134
angles (deg): 136.33 136.33 63.48
Positions (direct):
Tl: 0.250 0.750 0.500
Ru: 0.000 0.000 0.000
Ru: 0.500 0.500 0.000
Li: 0.750 0.250 0.500

Summary:
* spin magnetization: 2.228 μB/f.u.
* space-group type: No. 139
* calculated formation energy: 424 meV per atom
* energy relative to the lowest polymorph listed for this composition: 193.1 meV/atom
* energy: -21.14 eV/cell

=====

CuReSb3: optimized geometry, PBE.

a b c (Å): 4.965 4.965 4.965
angles (deg): 90.00 90.00 90.00
Positions (direct):
Sb: 0.000 0.500 0.000
Sb: 0.500 0.000 0.000
Sb: 0.000 0.000 0.500
Cu: 0.000 0.000 0.000
Re: 0.500 0.500 0.500

Summary:
* spin magnetization: 2.900 μB/f.u.
* raw formation energy: 1311.3 meV per atom
* space-group type: No. 221
* energy relative to the lowest polymorph listed for this composition: 395.3 meV/atom
* energy: -22.35 eV/cell